ZrCr2Sb: relaxed, PBE.

The structure belongs to space group Pm (No. 6); the cell edges are 3.1464, 4.2817 and 5.4801 Å and the angles 90.00°, 100.48° and 90.00°. The asymmetric unit holds Zr at (0.0000, 0.0000, 0.0000), Cr at (0.4318, 0.0000, 0.4463), Cr at (0.6893, 0.5000, 0.2952) and Sb at (0.3962, 0.5000, 0.7448).

The calculation puts the formation energy from raw total energies at 0.1580 eV per atom. Its calculated total energy is -31.285 eV per formula unit.